(1)
Computed, not measured: AgSnH3 at its PBEsol-relaxed geometry at the SCAN level of DFT.

## Properties
SG ... Pm-3m (221)

Cell: 3.8320 3.8320 3.8320 Å, 90.00 90.00 90.00°
Closest atoms and distances in Å follow each position.
Sites, in units of the cell vectors:
Ag1 0.0000 0.0000 0.0000  6 H 1.92
Sn1 0.5000 0.5000 0.5000  12 H 2.71
H1 0.0000 0.0000 0.5000  2 Ag 1.92
H2 0.0000 0.5000 0.0000  2 Ag 1.92
H3 0.5000 0.0000 0.0000  2 Ag 1.92


(2)
Computed, not measured: Sr2AgH at its PBEsol-relaxed geometry at the SCAN level of DFT.

## Properties
SG ... I-42d (122)

Cell: 6.5604 6.5604 6.5604 Å, 112.65 112.65 103.29°
Closest atoms and distances in Å follow each position.
Sites, in units of the cell vectors:
Sr1 0.0471 0.6250 0.9221  2 H 2.43
Sr2 0.3750 0.2971 0.4221  2 H 2.43
Sr3 0.7029 0.1250 0.0779  2 H 2.43
Sr4 0.8750 0.9529 0.5779  2 H 2.43
Ag1 0.2500 0.7500 0.5000  4 Sr 3.17
Ag2 0.5000 0.5000 0.0000  4 Sr 3.17
H1 0.0000 0.0000 0.0000  4 Sr 2.43
H2 0.7500 0.2500 0.5000  4 Sr 2.43


(3)
Computed, not measured: SrAgH2 at its PBEsol-relaxed geometry at the SCAN level of DFT.

## Properties
SG ... I-42d (122)

Cell: 6.5617 6.5617 6.5617 Å, 138.42 138.42 60.26°
Closest atoms and distances in Å follow each position.
Sites, in units of the cell vectors:
Sr1 0.0000 0.0000 0.0000  4 H 2.58
Sr2 0.7500 0.2500 0.5000  4 H 2.58
Ag1 0.2500 0.7500 0.5000  4 H 1.91
Ag2 0.5000 0.5000 0.0000  4 H 1.91
H1 0.2631 0.6250 0.1381  2 Ag 1.91
H2 0.3750 0.5131 0.6381  2 Ag 1.91
H3 0.4869 0.1250 0.8619  2 Ag 1.91
H4 0.8750 0.7369 0.3619  2 Ag 1.91


(4)
Computed, not measured: Ti3AgH at its PBEsol-relaxed geometry at the SCAN level of DFT.

## Properties
SG ... Pm-3m (221)

Cell: 4.0509 4.0509 4.0509 Å, 90.00 90.00 90.00°
Closest atoms and distances in Å follow each position.
Sites, in units of the cell vectors:
Ti1 0.0000 0.0000 0.5000  2 H 2.03
Ti2 0.0000 0.5000 0.0000  2 H 2.03
Ti3 0.5000 0.0000 0.0000  2 H 2.03
Ag1 0.5000 0.5000 0.5000  12 Ti 2.86
H1 0.0000 0.0000 0.0000  6 Ti 2.03


(5)
Computed, not measured: TiAg2H at its PBEsol-relaxed geometry at the SCAN level of DFT.

## Properties
SG ... Fm-3m (225)

Cell: 4.3479 4.3479 4.3479 Å, 60.00 60.00 60.00°
Closest atoms and distances in Å follow each position.
Sites, in units of the cell vectors:
Ti1 0.0000 0.0000 0.0000  8 Ag 2.66
Ag1 0.2500 0.2500 0.2500  4 H 2.66, 4 Ti 2.66
Ag2 0.7500 0.7500 0.7500  4 H 2.66, 4 Ti 2.66
H1 0.5000 0.5000 0.5000  8 Ag 2.66


(6)
Computed, not measured: Zr3AgH at its PBEsol-relaxed geometry at the SCAN level of DFT.

## Properties
SG ... Pm-3m (221)

Cell: 4.3656 4.3656 4.3656 Å, 90.00 90.00 90.00°
Closest atoms and distances in Å follow each position.
Sites, in units of the cell vectors:
Zr1 0.0000 0.0000 0.5000  2 H 2.18
Zr2 0.0000 0.5000 0.0000  2 H 2.18
Zr3 0.5000 0.0000 0.0000  2 H 2.18
Ag1 0.5000 0.5000 0.5000  12 Zr 3.09
H1 0.0000 0.0000 0.0000  6 Zr 2.18


(7)
Computed, not measured: Hf3AgHg at its PBEsol-relaxed geometry at the SCAN level of DFT.

## Properties
SG ... Pm-3m (221)
Polymorph energy (0 for the lowest one) ... 0.0 kJ per mole of atoms
Formation energy from the elements ... 4.62 eV/f.u.

Cell: 4.9924 4.9924 4.9924 Å, 90.00 90.00 90.00°
Closest atoms and distances in Å follow each position.
Sites, in units of the cell vectors:
Hf1 0.0000 0.0000 0.5000  2 Ag 2.50
Hf2 0.0000 0.5000 0.0000  2 Ag 2.50
Hf3 0.5000 0.0000 0.0000  2 Ag 2.50
Ag1 0.0000 0.0000 0.0000  6 Hf 2.50
Hg1 0.5000 0.5000 0.5000  12 Hf 3.53


(8)
Computed, not measured: HfAg3Hg at its PBEsol-relaxed geometry at the SCAN level of DFT.

## Properties
SG ... Pm-3m (221)
Formation energy from the elements ... 5.67 eV/f.u.

Cell: 4.9516 4.9516 4.9516 Å, 90.00 90.00 90.00°
Closest atoms and distances in Å follow each position.
Sites, in units of the cell vectors:
Hf1 0.0000 0.0000 0.0000  12 Ag 3.50
Ag1 0.0000 0.5000 0.5000  2 Hg 2.48
Ag2 0.5000 0.0000 0.5000  2 Hg 2.48
Ag3 0.5000 0.5000 0.0000  2 Hg 2.48
Hg1 0.5000 0.5000 0.5000  6 Ag 2.48


| no. | total moment (μB per cell) | E_tot (eV/cell) |
| --- | --- | --- |
| 1 | 0.000 | -74.6 |
| 2 | 0.002 | -160.5 |
| 3 | 0.000 | -121.7 |
| 4 | 0.000 | -83.7 |
| 5 | 0.668 | -79.1 |
| 6 | 0.000 | -127.8 |
| 7 | 0.000 | -282.9 |
| 8 | 1.133 | -219.3 |